! LaSiSnIr2 GGA-PBE relaxed; values from VASP
&SYSTEM
  ibrav = 0, nat = 5, ntyp = 4
/
ATOMIC_SPECIES
La 138.91 La.upf
Si 28.09 Si.upf
Sn 118.71 Sn.upf
Ir 192.22 Ir.upf
CELL_PARAMETERS angstrom
4.8610 0.0000 0.0000
0.0000 4.8610 0.0000
0.0000 0.0000 5.9044
ATOMIC_POSITIONS crystal
La 0.0000 0.0000 0.0000
Si 0.5000 0.5000 0.0000
Sn 0.0000 0.0000 0.5000
Ir 0.0000 0.5000 0.5000
Ir 0.5000 0.0000 0.5000
! * size of the total moment: 0.0 Bohr magnetons per cell
! * uncorrected formation energy: 26.8 kcal/mol of atoms
! * space group: P4/mmm, No. 123